[1]
A crystal of ScCuP relaxed with PBEsol, computed with SCAN.

Cell: 3.5485 3.5485 7.4750 Å, 90.00 90.00 90.00°
With the nearest neighbours (Å) after each atom.
Space group I4mm (No. 107)
Inequivalent atoms, fractional coordinates:
Sc1 0.0000 0.0000 0.0000 (multiplicity 2)  5 Cu 2.53-2.78, 5 P 2.62-2.75
Cu1 0.0000 0.0000 0.6609 (multiplicity 2)  1 P 2.32, 1 Sc 2.53
P1 0.0000 0.0000 0.3509 (multiplicity 2)  1 Cu 2.32

Properties
* D(E_F): 0.50 states/eV per atom
* DFT total energy: -13.74 eV/atom

[2]
A crystal of CuPSe2 relaxed with PBEsol, computed with SCAN.

Cell: 3.5733 3.7129 10.9162 Å, 90.00 90.00 90.00°
With the nearest neighbours (Å) after each atom.
Space group Immm (No. 71)
Inequivalent atoms, fractional coordinates:
Cu1 0.0000 0.0000 0.0000 (multiplicity 2)  4 Se 2.52, 4 P 2.58
P1 0.0000 0.0000 0.5000 (multiplicity 2)  4 Se 2.57, 4 Cu 2.58
Se1 0.0000 0.5000 0.3366 (multiplicity 4)  2 Cu 2.52, 2 P 2.57

Properties
* D(E_F): 0.52 states/eV per atom
* polymorph energy (0 for the lowest one): 7 meV/atom